Entry from Alexandria via LeMat-Bulk: crystalline Y3Cd at its relaxed geometry (GGA-PBEsol).

Cell: 3.529 4.652 6.696 Å, 90.00 90.00 90.00°
Space group Pmmm (No. 47)
Unique sites:
Y  0.000  0.000  0.000 (multiplicity 1)
Y  0.500  0.500  0.261 (multiplicity 2)
Cd  0.000  0.000  0.500 (multiplicity 1)

Formation energy from the elements (eV per atom): -0.10